[1]
InRu2Se | PBE | relaxed

Lattice parameters (Å, degrees): 3.1200 5.0209 4.3426 90.00 90.00 90.00
Closest atoms and distances in Å follow each position.
Atoms (fractional coordinates):
Ru  0.0000  0.0000  0.0000  4 Se 2.67, 4 Ru 2.96
Ru  0.5000  0.5000  0.0000  4 In 2.67, 4 Ru 2.96
In  0.0000  0.5000  0.5000  4 Ru 2.67, 4 Se 2.96
Se  0.5000  0.0000  0.5000  4 Ru 2.67, 4 In 2.96

Computed properties:
volume: 17.01 Å³ per atom
E: -5.7167 eV/atom
energy relative to the elements, uncorrected: 0.477 eV per atom
symmetry: Pmmm
size of the total moment: 0.157 μB per atom

[2]
BaGe2Au2 | PBE | relaxed

Lattice parameters (Å, degrees): 4.7118 4.7118 6.3606 68.26 68.26 90.00
Closest atoms and distances in Å follow each position.
Atoms (fractional coordinates):
Ge  0.7500  0.2500  0.5000  4 Au 2.67
Ge  0.2500  0.7500  0.5000  4 Au 2.67
Au  0.6340  0.6340  0.7321  4 Ge 2.67, 1 Au 2.90
Au  0.3660  0.3660  0.2679  4 Ge 2.67, 1 Au 2.90
Ba  0.0000  0.0000  0.0000  8 Ge 3.59, 10 Au 3.63-3.97

Computed properties:
volume: 24.06 Å³ per atom
E: -4.0114 eV/atom
symmetry: I4/mmm
size of the total moment: 0.000 μB per atom
ΔE_f: -2.34 eV per formula unit

[3]
Ho5ErPu | PBE | relaxed

Lattice parameters (Å, degrees): 3.4975 8.5083 14.3632 92.53 90.00 90.00
Closest atoms and distances in Å follow each position.
Atoms (fractional coordinates):
Ho  0.2500  0.2714  0.7437  2 Er 3.48, 10 Ho 3.50-3.75, 1 Pu 3.56
Ho  0.7500  0.3256  0.5184  3 Er 3.27-3.45, 7 Ho 3.33-3.54
Ho  0.2500  0.6744  0.4816  3 Er 3.27-3.45, 7 Ho 3.33-3.54
Ho  0.2500  0.4387  0.0940  1 Er 3.25, 7 Ho 3.42-3.60, 2 Pu 3.51
Ho  0.7500  0.5613  0.9060  1 Er 3.25, 7 Ho 3.42-3.60, 2 Pu 3.51
Ho  0.2500  0.0271  0.3893  9 Ho 3.33-3.67, 1 Er 3.34, 2 Pu 3.52
Ho  0.2500  0.8459  0.0532  3 Pu 3.47-3.48, 9 Ho 3.50-3.60
Ho  0.7500  0.1541  0.9468  3 Pu 3.47-3.48, 9 Ho 3.50-3.60
Ho  0.7500  0.9729  0.6106  9 Ho 3.33-3.67, 1 Er 3.34, 2 Pu 3.52
Ho  0.7500  0.7286  0.2563  2 Er 3.48, 10 Ho 3.50-3.75, 1 Pu 3.56
Pu  0.7500  0.1250  0.1874  2 Er 3.38, 8 Ho 3.47-3.56, 2 Pu 3.50
Pu  0.2500  0.8750  0.8126  2 Er 3.38, 8 Ho 3.47-3.56, 2 Pu 3.50
Er  0.2500  0.3950  0.3176  7 Ho 3.25-3.48, 2 Pu 3.38, 2 Er 3.50
Er  0.7500  0.6050  0.6824  7 Ho 3.25-3.48, 2 Pu 3.38, 2 Er 3.50

Computed properties:
volume: 30.50 Å³ per atom
E: -5.9087 eV/atom
symmetry: P2_1/m
size of the total moment: 0.890 μB per atom
ΔE_f: 0.42 eV per formula unit

[4]
CrCdNi2 | PBE | relaxed

Lattice parameters (Å, degrees): 4.4437 4.4437 4.4437 126.18 126.17 79.60
Closest atoms and distances in Å follow each position.
Atoms (fractional coordinates):
Cr  0.2500  0.7500  0.5000  8 Ni 2.64, 4 Cd 2.84
Ni  0.5000  0.5000  0.0000  4 Cr 2.64, 4 Cd 2.64, 4 Ni 2.84
Ni  0.0000  0.0000  0.0000  4 Cr 2.64, 4 Cd 2.64, 4 Ni 2.84
Cd  0.7500  0.2500  0.5000  8 Ni 2.64, 4 Cr 2.84

Computed properties:
volume: 13.81 Å³ per atom
E: -5.3214 eV/atom
symmetry: I4/mmm
size of the total moment: 0.890 μB per atom
ΔE_f: 0.82 eV per formula unit

[5]
Sr3In2Au7 | PBE | relaxed

Lattice parameters (Å, degrees): 4.5246 4.5246 15.2704 98.52 98.52 90.00
Closest atoms and distances in Å follow each position.
Atoms (fractional coordinates):
In  0.1265  0.1265  0.2529  5 Au 2.75-2.78
In  0.8735  0.8735  0.7471  5 Au 2.75-2.78
Au  0.0742  0.5742  0.1483  2 In 2.75
Au  0.4258  0.9258  0.8517  2 In 2.75
Au  0.9258  0.4258  0.8517  2 In 2.75
Au  0.7805  0.7805  0.5610  1 In 2.78
Au  0.0000  0.0000  0.0000  8 Au 3.17, 4 Sr 3.20
Au  0.2195  0.2195  0.4390  1 In 2.78
Au  0.5742  0.0742  0.1483  2 In 2.75
Sr  0.3241  0.3241  0.6482  5 Au 3.12-3.45
Sr  0.5000  0.5000  0.0000  12 Au 3.17-3.20
Sr  0.6759  0.6759  0.3518  5 Au 3.12-3.45

Computed properties:
volume: 25.47 Å³ per atom
E: -3.2444 eV/atom
symmetry: I4/mmm
size of the total moment: 0.000 μB per atom
ΔE_f: -5.47 eV per formula unit

[6]
MnBiPIr2 | PBE | relaxed

Lattice parameters (Å, degrees): 4.5257 4.3034 4.5257 90.00 90.00 90.00
Closest atoms and distances in Å follow each position.
Atoms (fractional coordinates):
Bi  0.5000  0.5000  0.5000  8 Ir 3.12, 4 Mn 3.20
Ir  0.0000  0.0000  0.5000  2 P 2.26
Ir  0.5000  0.0000  0.0000  2 P 2.26
P  0.0000  0.0000  0.0000  2 Mn 2.15, 4 Ir 2.26
Mn  0.0000  0.5000  0.0000  2 P 2.15

Computed properties:
volume: 17.63 Å³ per atom
E: -6.8011 eV/atom
symmetry: P4/mmm
size of the total moment: 0.127 μB per atom
ΔE_f: 2.18 eV per formula unit